Material: Nd2DyY6Ho3
Method: DFT, PBE-GGA
State: relaxed

Properties
total DFT energy (no corrections)	-66.42	eV per cell
calculated volume	32.29	Å³/atom

Cell: 6.1943 6.1943 11.8340 Å, 94.99 94.99 119.95°
Positions (direct):
Nd1 0.1666 0.8334 0.0000
Nd2 0.8334 0.1666 0.0000
Dy1 0.5000 0.5000 0.0000
Y1 0.0828 0.4155 0.7473
Y2 0.2519 0.2519 0.2529
Y3 0.4155 0.0828 0.7473
Y4 0.5845 0.9172 0.2527
Y5 0.7481 0.7481 0.7471
Y6 0.9172 0.5845 0.2527
Ho1 0.0000 0.0000 0.5000
Ho2 0.3335 0.6665 0.5000
Ho3 0.6665 0.3335 0.5000